{"formula": "LaZn3Si2", "functional": "PBE", "state": "relaxed", "m_tot_mub_per_atom": 0.000, "density_g_cm3": 5.82, "space_group": "C2/m, No. 12", "final_energy_ev_per_atom": -3.561, "lattice_angstrom": [[7.913, -2.076, 0.000], [7.913, 2.076, 0.000], [-3.392, 0.000, 6.792]], "species": ["La", "La", "Zn", "Zn", "Zn", "Zn", "Zn", "Zn", "Si", "Si", "Si", "Si"], "frac_coords": [[0.148, 0.148, 0.066], [0.852, 0.852, 0.934], [0.040, 0.040, 0.376], [0.317, 0.317, 0.554], [0.395, 0.395, 0.297], [0.605, 0.605, 0.703], [0.683, 0.683, 0.446], [0.960, 0.960, 0.624], [0.196, 0.196, 0.686], [0.485, 0.485, 0.832], [0.515, 0.515, 0.168], [0.804, 0.804, 0.314]]}

---

{"formula": "Na3U3SnS8", "functional": "PBE", "state": "relaxed", "m_tot_mub_per_atom": 0.467, "density_g_cm3": 5.13, "space_group": "R-3m, No. 166", "final_energy_ev_per_atom": -6.210, "lattice_angstrom": [[4.049, 2.337, 6.601], [-4.049, 2.337, 6.601], [0.000, -4.675, 6.601]], "species": ["Na", "Na", "Na", "U", "U", "U", "Sn", "S", "S", "S", "S", "S", "S", "S", "S"], "frac_coords": [[0.000, 0.500, 0.500], [0.500, 0.000, 0.500], [0.500, 0.500, 0.000], [0.000, 0.000, 0.500], [0.000, 0.500, 0.000], [0.500, 0.000, 0.000], [0.500, 0.500, 0.500], [0.226, 0.748, 0.748], [0.243, 0.243, 0.243], [0.252, 0.252, 0.774], [0.252, 0.774, 0.252], [0.748, 0.226, 0.748], [0.748, 0.748, 0.226], [0.757, 0.757, 0.757], [0.774, 0.252, 0.252]]}

---

{"formula": "MnCoCuRe", "functional": "PBE", "state": "relaxed", "ef_ev_per_atom": 0.16, "m_tot_mub_per_atom": 0.591, "relative_energy_ev_per_fu": 0.00, "density_g_cm3": 12.23, "space_group": "Pmm2, No. 25", "final_energy_ev_per_atom": -8.049, "lattice_angstrom": [[2.589, 0.000, 0.000], [0.000, 4.193, 0.000], [0.000, 0.000, 4.548]], "species": ["Mn", "Co", "Cu", "Re"], "frac_coords": [[0.000, 0.000, 0.000], [0.500, 0.000, 0.506], [0.500, 0.500, 0.827], [0.000, 0.500, 0.332]]}